No. 1
# Ba2VSi | Alexandria via LeMat-Bulk | PBE | relaxed
data_Ba2VSi
_symmetry_space_group_name_H-M 'I -4 2 d'
_symmetry_Int_Tables_number 122
_symmetry_space_group_name_Hall 'I -4 2bw'
_cell_length_a 12.2341
_cell_length_b 12.2341
_cell_length_c 4.8620
_cell_angle_alpha 90.00
_cell_angle_beta 90.00
_cell_angle_gamma 90.00
loop_
_atom_site_label
_atom_site_type_symbol
_atom_site_fract_x
_atom_site_fract_y
_atom_site_fract_z
_atom_site_occupancy
Ba1 Ba 0.0753 0.2500 0.1250 1
V1 V 0.0000 0.0000 0.5000 1
Si1 Si 0.0000 0.0000 0.0000 1
# * raw total energy: -4.28 eV per atom

***

No. 2
# BaV2Si | Alexandria via LeMat-Bulk | PBE | relaxed
data_BaV2Si
_symmetry_space_group_name_H-M 'I 41/a m d'
_symmetry_Int_Tables_number 141
_cell_length_a 4.6258
_cell_length_b 4.6258
_cell_length_c 18.2875
_cell_angle_alpha 90.00
_cell_angle_beta 90.00
_cell_angle_gamma 90.00
loop_
_symmetry_equiv_pos_as_xyz
'x,y,z'
'-x,-y,-z'
'-y+1/4,x+3/4,z+1/4'
'y+1/4,-x+3/4,-z+1/4'
'-x+1/2,-y,z+1/2'
'x+1/2,y,-z+1/2'
'y+1/4,-x+1/4,z+3/4'
'-y+1/4,x+1/4,-z+3/4'
'x,-y,-z'
'-x,y,z'
'-y+1/4,-x+1/4,-z+3/4'
'y+1/4,x+1/4,z+3/4'
'-x+1/2,y,-z+1/2'
'x+1/2,-y,z+1/2'
'y+1/4,x+3/4,-z+1/4'
'-y+1/4,-x+3/4,z+1/4'
'x+1/2,y+1/2,z+1/2'
'-x+1/2,-y+1/2,-z+1/2'
'-y+3/4,x+1/4,z+3/4'
'y+3/4,-x+1/4,-z+3/4'
'-x,-y+1/2,z'
'x,y+1/2,-z'
'y+3/4,-x+3/4,z+1/4'
'-y+3/4,x+3/4,-z+1/4'
'x+1/2,-y+1/2,-z+1/2'
'-x+1/2,y+1/2,z+1/2'
'-y+3/4,-x+3/4,-z+1/4'
'y+3/4,x+3/4,z+1/4'
'-x,y+1/2,-z'
'x,-y+1/2,z'
'y+3/4,x+1/4,-z+3/4'
'-y+3/4,-x+1/4,z+3/4'
loop_
_atom_site_label
_atom_site_type_symbol
_atom_site_fract_x
_atom_site_fract_y
_atom_site_fract_z
_atom_site_occupancy
Ba1 Ba 0.0000 0.2500 0.3750 1
V1 V 0.0000 0.0000 0.0000 1
Si1 Si 0.0000 0.2500 0.8750 1
# * raw total energy: -5.82 eV per atom

***

No. 3
# BaVSi | Alexandria via LeMat-Bulk | PBE | relaxed
data_BaVSi
_symmetry_space_group_name_H-M 'P 4/n m m'
_symmetry_Int_Tables_number 129
_cell_length_a 4.0137
_cell_length_b 4.0137
_cell_length_c 10.5932
_cell_angle_alpha 90.00
_cell_angle_beta 90.00
_cell_angle_gamma 90.00
loop_
_symmetry_equiv_pos_as_xyz
'x,y,z'
'-x,-y,-z'
'-y+1/2,x,z'
'y+1/2,-x,-z'
'-x+1/2,-y+1/2,z'
'x+1/2,y+1/2,-z'
'y,-x+1/2,z'
'-y,x+1/2,-z'
'x+1/2,-y,-z'
'-x+1/2,y,z'
'-y,-x,-z'
'y,x,z'
'-x,y+1/2,-z'
'x,-y+1/2,z'
'y+1/2,x+1/2,-z'
'-y+1/2,-x+1/2,z'
loop_
_atom_site_label
_atom_site_type_symbol
_atom_site_fract_x
_atom_site_fract_y
_atom_site_fract_z
_atom_site_occupancy
Ba1 Ba 0.2500 0.2500 0.1974 1
V1 V 0.2500 0.7500 0.5000 1
Si1 Si 0.2500 0.2500 0.6394 1
# * raw total energy: -5.70 eV per atom

***

No. 4
# Ba2SiW | Alexandria via LeMat-Bulk | PBE | relaxed
data_Ba2SiW
_symmetry_space_group_name_H-M 'P m m m'
_symmetry_Int_Tables_number 47
_symmetry_space_group_name_Hall '-P 2 2'
_cell_length_a 3.2118
_cell_length_b 4.8232
_cell_length_c 7.4573
_cell_angle_alpha 90.00
_cell_angle_beta 90.00
_cell_angle_gamma 90.00
loop_
_atom_site_label
_atom_site_type_symbol
_atom_site_fract_x
_atom_site_fract_y
_atom_site_fract_z
_atom_site_occupancy
Ba1 Ba 0.0000 0.0000 0.2417 1
Si1 Si 0.5000 0.5000 0.0000 1
W1 W 0.5000 0.5000 0.5000 1
# * raw total energy: -4.49 eV per atom

***

No. 5
# Ba3SiW | Alexandria via LeMat-Bulk | PBE | relaxed
data_Ba3SiW
_symmetry_space_group_name_H-M 'P m -3 m'
_symmetry_Int_Tables_number 221
_symmetry_space_group_name_Hall '-P 4 2 3'
_cell_length_a 5.8682
_cell_length_b 5.8682
_cell_length_c 5.8682
_cell_angle_alpha 90.00
_cell_angle_beta 90.00
_cell_angle_gamma 90.00
loop_
_atom_site_label
_atom_site_type_symbol
_atom_site_fract_x
_atom_site_fract_y
_atom_site_fract_z
_atom_site_occupancy
Ba1 Ba 0.0000 0.0000 0.5000 1
Si1 Si 0.5000 0.5000 0.5000 1
W1 W 0.0000 0.0000 0.0000 1
# * raw total energy: -3.74 eV per atom

***

No. 6
# Ba2SiW | Alexandria via LeMat-Bulk | PBE | relaxed
data_Ba2SiW
_symmetry_space_group_name_H-M 'I -4 2 d'
_symmetry_Int_Tables_number 122
_symmetry_space_group_name_Hall 'I -4 2bw'
_cell_length_a 12.1284
_cell_length_b 12.1284
_cell_length_c 4.8096
_cell_angle_alpha 90.00
_cell_angle_beta 90.00
_cell_angle_gamma 90.00
loop_
_atom_site_label
_atom_site_type_symbol
_atom_site_fract_x
_atom_site_fract_y
_atom_site_fract_z
_atom_site_occupancy
Ba1 Ba 0.0770 0.7500 0.1250 1
Si1 Si 0.0000 0.0000 0.0000 1
W1 W 0.0000 0.0000 0.5000 1
# * raw total energy: -4.80 eV per atom

***

No. 7
# Ba2SiW | Alexandria via LeMat-Bulk | PBE | relaxed
data_Ba2SiW
_symmetry_space_group_name_H-M 'R 3 m'
_symmetry_Int_Tables_number 160
_symmetry_space_group_name_Hall 'R 3 -2"'
_cell_length_a 4.3645
_cell_length_b 4.3645
_cell_length_c 26.6046
_cell_angle_alpha 90.00
_cell_angle_beta 90.00
_cell_angle_gamma 120.00
loop_
_atom_site_label
_atom_site_type_symbol
_atom_site_fract_x
_atom_site_fract_y
_atom_site_fract_z
_atom_site_occupancy
Ba1 Ba 0.0000 0.0000 0.0000 1
Ba2 Ba 0.0000 0.0000 0.1713 1
Si1 Si 0.0000 0.0000 0.7524 1
W1 W 0.0000 0.0000 0.4190 1
# * raw total energy: -5.31 eV per atom

***

No. 8
# Ba2SiW | Alexandria via LeMat-Bulk | PBE | relaxed
data_Ba2SiW
_symmetry_space_group_name_H-M 'C 1 m 1'
_symmetry_Int_Tables_number 8
_symmetry_space_group_name_Hall 'C -2y'
_cell_length_a 12.2366
_cell_length_b 3.8871
_cell_length_c 5.6426
_cell_angle_alpha 90.00
_cell_angle_beta 114.24
_cell_angle_gamma 90.00
loop_
_atom_site_label
_atom_site_type_symbol
_atom_site_fract_x
_atom_site_fract_y
_atom_site_fract_z
_atom_site_occupancy
Ba1 Ba 0.0000 0.0000 0.0000 1
Ba2 Ba 0.1927 0.0000 0.6672 1
Si1 Si 0.2709 0.5000 0.2343 1
W1 W 0.3990 0.0000 0.4020 1
# * raw total energy: -5.05 eV per atom

***

No. 9
# Ba2SiW | Alexandria via LeMat-Bulk | PBE | relaxed
data_Ba2SiW
_symmetry_space_group_name_H-M 'P 4 m m'
_symmetry_Int_Tables_number 99
_symmetry_space_group_name_Hall 'P 4 -2'
_cell_length_a 3.5618
_cell_length_b 3.5618
_cell_length_c 9.7468
_cell_angle_alpha 90.00
_cell_angle_beta 90.00
_cell_angle_gamma 90.00
loop_
_atom_site_label
_atom_site_type_symbol
_atom_site_fract_x
_atom_site_fract_y
_atom_site_fract_z
_atom_site_occupancy
Ba1 Ba 0.0000 0.0000 0.0000 1
Ba2 Ba 0.5000 0.5000 0.4322 1
Si1 Si 0.0000 0.0000 0.6761 1
W1 W 0.5000 0.5000 0.7436 1
# * raw total energy: -5.22 eV per atom

***

No. 10
# Ba2SiW | Alexandria via LeMat-Bulk | PBE | relaxed
data_Ba2SiW
_symmetry_space_group_name_H-M 'F -4 3 m'
_symmetry_Int_Tables_number 216
_symmetry_space_group_name_Hall 'F -4 2 3'
_cell_length_a 7.6694
_cell_length_b 7.6694
_cell_length_c 7.6694
_cell_angle_alpha 90.00
_cell_angle_beta 90.00
_cell_angle_gamma 90.00
loop_
_atom_site_label
_atom_site_type_symbol
_atom_site_fract_x
_atom_site_fract_y
_atom_site_fract_z
_atom_site_occupancy
Ba1 Ba 0.0000 0.0000 0.0000 1
Ba2 Ba 0.2500 0.2500 0.2500 1
Si1 Si 0.0000 0.0000 0.5000 1
W1 W 0.2500 0.2500 0.7500 1
# * raw total energy: -4.49 eV per atom

***

No. 11
# Ba2SiW | Alexandria via LeMat-Bulk | PBE | relaxed
data_Ba2SiW
_symmetry_space_group_name_H-M 'P 1 2/m 1'
_symmetry_Int_Tables_number 10
_symmetry_space_group_name_Hall '-P 2y'
_cell_length_a 6.0895
_cell_length_b 3.1842
_cell_length_c 6.1036
_cell_angle_alpha 90.00
_cell_angle_beta 110.19
_cell_angle_gamma 90.00
loop_
_atom_site_label
_atom_site_type_symbol
_atom_site_fract_x
_atom_site_fract_y
_atom_site_fract_z
_atom_site_occupancy
Ba1 Ba 0.0000 0.0000 0.0000 1
Ba2 Ba 0.5000 0.0000 0.5000 1
Si1 Si 0.0000 0.5000 0.5000 1
W1 W 0.5000 0.5000 0.0000 1
# * raw total energy: -4.49 eV per atom

***

No. 12
# Ba2SiW | Alexandria via LeMat-Bulk | PBE | relaxed
data_Ba2SiW
_symmetry_space_group_name_H-M 'I 4/m m m'
_symmetry_Int_Tables_number 139
_symmetry_space_group_name_Hall '-I 4 2'
_cell_length_a 5.1202
_cell_length_b 5.1202
_cell_length_c 9.3791
_cell_angle_alpha 90.00
_cell_angle_beta 90.00
_cell_angle_gamma 90.00
loop_
_atom_site_label
_atom_site_type_symbol
_atom_site_fract_x
_atom_site_fract_y
_atom_site_fract_z
_atom_site_occupancy
Ba1 Ba 0.0000 0.5000 0.2500 1
Si1 Si 0.0000 0.0000 0.0000 1
W1 W 0.0000 0.0000 0.5000 1
# * raw total energy: -4.51 eV per atom

***

No. 13
# Ba2SiW | Alexandria via LeMat-Bulk | PBE | relaxed
data_Ba2SiW
_symmetry_space_group_name_H-M 'F m -3 m'
_symmetry_Int_Tables_number 225
_symmetry_space_group_name_Hall '-F 4 2 3'
_cell_length_a 8.0286
_cell_length_b 8.0286
_cell_length_c 8.0286
_cell_angle_alpha 90.00
_cell_angle_beta 90.00
_cell_angle_gamma 90.00
loop_
_atom_site_label
_atom_site_type_symbol
_atom_site_fract_x
_atom_site_fract_y
_atom_site_fract_z
_atom_site_occupancy
Ba1 Ba 0.2500 0.2500 0.2500 1
Si1 Si 0.0000 0.0000 0.0000 1
W1 W 0.0000 0.0000 0.5000 1
# * raw total energy: -4.50 eV per atom

***

No. 14
# BaSi2W2 | Alexandria via LeMat-Bulk | PBE | relaxed
data_BaSi2W2
_symmetry_space_group_name_H-M 'I 4/m m m'
_symmetry_Int_Tables_number 139
_symmetry_space_group_name_Hall '-I 4 2'
_cell_length_a 4.7560
_cell_length_b 4.7560
_cell_length_c 9.4025
_cell_angle_alpha 90.00
_cell_angle_beta 90.00
_cell_angle_gamma 90.00
loop_
_atom_site_label
_atom_site_type_symbol
_atom_site_fract_x
_atom_site_fract_y
_atom_site_fract_z
_atom_site_occupancy
Ba1 Ba 0.0000 0.0000 0.0000 1
Si1 Si 0.0000 0.5000 0.2500 1
W1 W 0.0000 0.0000 0.3694 1
# * raw total energy: -7.38 eV per atom